Here is crystalline CsS5N at its relaxed geometry from Alexandria. Energies are from PBE.

CIF file:
```
data_CsS5N
_chemical_formula_sum 'Cs2 S10 N2'
_cell_length_a 4.2257
_cell_length_b 19.8276
_cell_length_c 4.8204
_cell_angle_alpha 90.00
_cell_angle_beta 96.90
_cell_angle_gamma 90.00
_space_group_name_H-M_alt 'C 1 2 1'
_space_group_IT_number 5
_space_group_name_Hall 'C 2y'
loop_
_atom_site_label
_atom_site_type_symbol
_atom_site_fract_x
_atom_site_fract_y
_atom_site_fract_z
_atom_site_occupancy
Cs1 Cs 0.0000 0.0000 0.0000 1
S1 S 0.0000 0.3857 0.5000 1
S2 S 0.1620 0.3255 0.1793 1
S3 S 0.1813 0.6374 0.3611 1
N1 N 0.0000 0.0910 0.5000 1
```

Properties
Fermi-level density of states   8.06 states/eV/cell
Formation energy from raw total energies   0.1 kcal/mol of atoms


Here is crystalline Ti6ReTc at its relaxed geometry from Alexandria. Energies are from PBE.

CIF file:
```
data_Ti6ReTc
_chemical_formula_sum 'Ti12 Re2 Tc2'
_cell_length_a 4.4274
_cell_length_b 4.4274
_cell_length_c 13.2492
_cell_angle_alpha 90.00
_cell_angle_beta 90.00
_cell_angle_gamma 90.00
_space_group_name_H-M_alt 'I 4/m m m'
_space_group_IT_number 139
_space_group_name_Hall '-I 4 2'
loop_
_atom_site_label
_atom_site_type_symbol
_atom_site_fract_x
_atom_site_fract_y
_atom_site_fract_z
_atom_site_occupancy
Ti1 Ti 0.0000 0.0000 0.2485 1
Ti2 Ti 0.0000 0.5000 0.1119 1
Re1 Re 0.0000 0.0000 0.0000 1
Tc1 Tc 0.0000 0.0000 0.5000 1
```

Properties
Fermi-level density of states   18.53 states/eV/cell
E_form   -0.217 eV/atom


Here is crystalline HgP2SBr at its relaxed geometry from Alexandria. Energies are from PBE.

CIF file:
```
data_HgP2SBr
_chemical_formula_sum 'Hg1 P2 S1 Br1'
_cell_length_a 5.2086
_cell_length_b 5.2086
_cell_length_c 4.9072
_cell_angle_alpha 90.00
_cell_angle_beta 90.00
_cell_angle_gamma 90.00
_space_group_name_H-M_alt 'P 4/m m m'
_space_group_IT_number 123
_space_group_name_Hall '-P 4 2'
loop_
_atom_site_label
_atom_site_type_symbol
_atom_site_fract_x
_atom_site_fract_y
_atom_site_fract_z
_atom_site_occupancy
Hg1 Hg 0.0000 0.0000 0.0000 1
P1 P 0.0000 0.5000 0.0000 1
S1 S 0.0000 0.0000 0.5000 1
Br1 Br 0.5000 0.5000 0.5000 1
```

Properties
Fermi-level density of states   5.40 states/eV/cell
Formation energy from raw total energies   29.5 kcal/mol of atoms
Polymorph energy (0 for the lowest one)   0.000 eV/atom


Here is crystalline ZrW3 at its relaxed geometry from Alexandria. Energies are from PBE.

CIF file:
```
data_ZrW3
_chemical_formula_sum 'Zr4 W12'
_cell_length_a 5.5746
_cell_length_b 9.5198
_cell_length_c 5.3993
_cell_angle_alpha 90.00
_cell_angle_beta 90.00
_cell_angle_gamma 90.00
_space_group_name_H-M_alt 'P n m a'
_space_group_IT_number 62
_space_group_name_Hall '-P 2ac 2n'
loop_
_atom_site_label
_atom_site_type_symbol
_atom_site_fract_x
_atom_site_fract_y
_atom_site_fract_z
_atom_site_occupancy
Zr1 Zr 0.0132 0.2500 0.1376 1
W1 W 0.0497 0.7500 0.3483 1
W2 W 0.2325 0.0211 0.6406 1
```

Properties
Fermi-level density of states   11.79 states/eV/cell
E_form   0.328 eV/atom


Here is crystalline PuTh6Sc12 at its relaxed geometry from Alexandria. Energies are from PBE.

CIF file:
```
data_PuTh6Sc12
_chemical_formula_sum 'Pu3 Th18 Sc36'
_cell_length_a 13.0245
_cell_length_b 13.0245
_cell_length_c 11.7217
_cell_angle_alpha 90.00
_cell_angle_beta 90.00
_cell_angle_gamma 120.00
_space_group_name_H-M_alt 'R -3 m'
_space_group_IT_number 166
_space_group_name_Hall '-R 3 2"'
loop_
_atom_site_label
_atom_site_type_symbol
_atom_site_fract_x
_atom_site_fract_y
_atom_site_fract_z
_atom_site_occupancy
Pu1 Pu 0.0000 0.0000 0.0000 1
Th1 Th 0.0398 0.5199 0.7265 1
Sc1 Sc 0.0000 0.3838 0.5000 1
Sc2 Sc 0.0967 0.1935 0.3753 1
```

Properties
Fermi-level density of states   104.03 states/eV/cell
E_form   0.630 eV/atom


Here is crystalline Ho2Pu3ScS6 at its relaxed geometry from Alexandria. Energies are from PBE.

CIF file:
```
data_Ho2Pu3ScS6
_chemical_formula_sum 'Ho4 Pu6 Sc2 S12'
_cell_length_a 16.9943
_cell_length_b 3.8723
_cell_length_c 7.8145
_cell_angle_alpha 90.00
_cell_angle_beta 103.95
_cell_angle_gamma 90.00
_space_group_name_H-M_alt 'C 1 2/m 1'
_space_group_IT_number 12
_space_group_name_Hall '-C 2y'
loop_
_atom_site_label
_atom_site_type_symbol
_atom_site_fract_x
_atom_site_fract_y
_atom_site_fract_z
_atom_site_occupancy
Ho1 Ho 0.1654 0.0000 0.3315 1
Pu1 Pu 0.0000 0.5000 0.5000 1
Pu2 Pu 0.1676 0.0000 0.8343 1
Sc1 Sc 0.0000 0.5000 0.0000 1
S1 S 0.0001 0.0000 0.2372 1
S2 S 0.1615 0.5000 0.0839 1
S3 S 0.1681 0.5000 0.5803 1
```

Properties
Fermi-level density of states   46.11 states/eV/cell
Formation energy from raw total energies   -43.2 kcal/mol of atoms